DFT (GGA+U) results for crystalline KSmV2O8 at its relaxed geometry.

a b c (Å): 5.9562 5.9562 7.7844
angles (deg): 90.00 90.00 120.00
Closest atoms and distances in Å follow each position.
Positions (direct):
K  0.0000  0.0000  0.5000  6 O 3.01
Sm  0.0000  0.0000  0.0000  6 O 2.32
V  0.6667  0.3333  0.2617  4 O 1.72-1.74
V  0.3333  0.6667  0.7383  4 O 1.72-1.74
O  0.8267  0.1733  0.1895  1 V 1.74
O  0.8267  0.6535  0.1895  1 V 1.74
O  0.3465  0.1733  0.1895  1 V 1.74
O  0.6535  0.8267  0.8105  1 V 1.74
O  0.3333  0.6667  0.5176  1 V 1.72
O  0.6667  0.3333  0.4824  1 V 1.72
O  0.1733  0.8267  0.8105  1 V 1.74
O  0.1733  0.3465  0.8105  1 V 1.74

- DOS at the Fermi energy: 0.98 states/eV per atom
- Final energy: -6.9677 eV per atom
- M_tot: 2.02 μB per cell
- SG: P-3m1